{"formula": "KTe2Pd2", "functional": "PBE-GGA", "state": "relaxed", "de_polymorph_mev_per_atom": 26, "lattice_angstrom": [[6.903, -0.014, 0.000], [-3.213, 6.110, 0.000], [-1.845, -3.048, 6.726]], "species": ["K", "K", "Te", "Te", "Te", "Te", "Pd", "Pd", "Pd", "Pd"], "frac_coords": [[0.500, 0.500, 0.000], [0.750, 0.250, 0.500], [0.188, 0.812, 0.000], [0.812, 0.188, 0.000], [0.062, 0.938, 0.500], [0.438, 0.562, 0.500], [0.892, 0.892, 0.784], [0.108, 0.108, 0.216], [0.142, 0.642, 0.284], [0.358, 0.858, 0.716]]}

=====

{"formula": "KTe8Pd6", "functional": "PBE-GGA", "state": "relaxed", "final_energy_ev_per_atom": -4.19, "lattice_angstrom": [[-2.556, 6.044, -3.452], [-4.696, 1.519, 5.534], [4.950, 4.366, 3.378]], "species": ["K", "Te", "Te", "Te", "Te", "Te", "Te", "Te", "Te", "Pd", "Pd", "Pd", "Pd", "Pd", "Pd"], "frac_coords": [[0.000, 0.000, 0.000], [0.748, 0.748, 0.748], [0.252, 0.252, 0.252], [0.615, 0.846, 0.261], [0.846, 0.261, 0.615], [0.261, 0.615, 0.846], [0.385, 0.154, 0.739], [0.154, 0.739, 0.385], [0.739, 0.385, 0.154], [0.589, 0.436, 0.812], [0.436, 0.812, 0.589], [0.812, 0.589, 0.436], [0.411, 0.564, 0.188], [0.564, 0.188, 0.411], [0.188, 0.411, 0.564]]}

=====

{"formula": "KTe2Pd2", "functional": "PBE-GGA", "state": "relaxed", "de_polymorph_mev_per_atom": 188, "lattice_angstrom": [[8.378, 0.000, 0.000], [0.000, 8.378, 0.000], [0.000, 0.000, 3.289]], "species": ["K", "K", "Te", "Te", "Te", "Te", "Pd", "Pd", "Pd", "Pd"], "frac_coords": [[0.000, 0.000, 0.000], [0.500, 0.500, 0.000], [0.167, 0.667, 0.500], [0.667, 0.833, 0.500], [0.833, 0.333, 0.500], [0.333, 0.167, 0.500], [0.379, 0.879, 0.000], [0.879, 0.621, 0.000], [0.621, 0.121, 0.000], [0.121, 0.379, 0.000]]}